1.
! GGA-PBE AcLa2Tl2, optimized geometry; values from VASP
&SYSTEM
  ibrav = 0, nat = 10, ntyp = 3
/
ATOMIC_SPECIES
Ac 227.00 Ac.upf
La 138.91 La.upf
Tl 204.38 Tl.upf
ATOMIC_POSITIONS crystal
Ac 0.8577 0.7500 0.7158
Ac 0.1423 0.2500 0.2842
La 0.0515 0.7500 0.1017
La 0.9485 0.2500 0.8983
La 0.2388 0.7500 0.4782
La 0.7612 0.2500 0.5218
Tl 0.6515 0.7500 0.3036
Tl 0.3485 0.2500 0.6964
Tl 0.4582 0.7500 0.9164
Tl 0.5418 0.2500 0.0836
CELL_PARAMETERS angstrom
4.4956 0.0000 -0.6019
0.0000 5.3400 0.0000
-0.3905 0.0000 14.1581
! * N(E_F): 11.71 states/eV/cell
! * VASP energy: -0.1488 Ha/atom



2.
! GGA-PBE ZrHg2Rh, optimized geometry; values from VASP
&SYSTEM
  ibrav = 0, nat = 4, ntyp = 3
/
ATOMIC_SPECIES
Hg 200.59 Hg.upf
Rh 102.91 Rh.upf
Zr 91.22 Zr.upf
ATOMIC_POSITIONS crystal
Hg 0.0000 0.0000 0.0170
Hg 0.0000 0.0000 0.4830
Rh 0.5000 0.5000 0.2500
Zr 0.5000 0.5000 0.7500
CELL_PARAMETERS angstrom
-0.9843 0.7284 -3.3561
0.6098 -3.3987 -0.9165
-5.7698 -1.4091 1.3865
! * N(E_F): 4.22 states/eV/cell
! * VASP energy: -0.1532 Ha/atom



3.
! GGA-PBE LiPuMnSi, optimized geometry; values from VASP
&SYSTEM
  ibrav = 0, nat = 4, ntyp = 4
/
ATOMIC_SPECIES
Si 28.09 Si.upf
Mn 54.94 Mn.upf
Li 6.94 Li.upf
Pu 244.00 Pu.upf
ATOMIC_POSITIONS crystal
Si 0.7500 0.7500 0.7500
Mn 0.5000 0.5000 0.5000
Li 0.0000 0.0000 0.0000
Pu 0.2500 0.2500 0.2500
CELL_PARAMETERS angstrom
-4.3156 0.4051 -0.6044
-1.7424 -0.7928 -3.9357
-2.4660 -3.5614 -0.6243
! * N(E_F): 8.84 states/eV/cell
! * VASP energy: -0.2826 Ha/atom



4.
! GGA-PBE MgAgPSe4, optimized geometry; values from VASP
&SYSTEM
  ibrav = 0, nat = 14, ntyp = 4
/
ATOMIC_SPECIES
Mg 24.30 Mg.upf
Ag 107.87 Ag.upf
P 30.97 P.upf
Se 78.96 Se.upf
ATOMIC_POSITIONS crystal
Mg 0.0000 0.0000 0.0000
Mg 0.0000 0.5000 0.5000
Ag 0.5000 0.0000 0.5000
Ag 0.0000 0.0000 0.5000
P 0.6217 0.6283 0.1283
P 0.3783 0.3717 0.8717
Se 0.7228 0.7532 0.8012
Se 0.2772 0.6988 0.7468
Se 0.7228 0.3012 0.2532
Se 0.2772 0.2468 0.1988
Se 0.2145 0.7535 0.2535
Se 0.7785 0.7535 0.2535
Se 0.2215 0.2465 0.7465
Se 0.7855 0.2465 0.7465
CELL_PARAMETERS angstrom
-2.5549 -0.6844 -6.9835
-5.0063 -5.6205 -1.6102
-6.9538 2.8137 -1.7243
! * N(E_F): 5.70 states/eV/cell
! * VASP energy: -0.1340 Ha/atom